First-principles (PBE) data for Dy2Co5C4 after structural relaxation, as listed in the Alexandria database.

Results
**Space group**: Fmmm (69)
**Calculated volume**: 10.8 Å³ per atom

Cell lengths 6.978, 5.689, 5.325 Å; angles 78.55, 53.04, 48.41 degrees
Atoms (fractional coordinates):
Dy 0.151 0.151 0.849
Dy 0.849 0.849 0.151
Co 0.000 0.000 0.500
Co 0.250 0.250 0.250
Co 0.500 0.500 0.000
Co 0.500 0.500 0.500
Co 0.750 0.750 0.750
C 0.213 0.522 0.478
C 0.478 0.787 0.213
C 0.522 0.213 0.787
C 0.787 0.478 0.522

=====

First-principles (PBE) data for Dy2CoC4 after structural relaxation, as listed in the Alexandria database.

Results
**Space group**: Ibam (72)
**Calculated volume**: 13.0 Å³ per atom

Cell lengths 6.596, 6.596, 6.596 Å; angles 111.34, 86.02, 134.88 degrees
Atoms (fractional coordinates):
Dy 0.145 0.160 0.305
Dy 0.355 0.660 0.015
Dy 0.645 0.340 0.985
Dy 0.855 0.840 0.695
Co 0.250 0.750 0.500
Co 0.750 0.250 0.500
C 0.078 0.669 0.747
C 0.127 0.840 0.967
C 0.373 0.340 0.713
C 0.422 0.169 0.590
C 0.578 0.831 0.410
C 0.627 0.660 0.287
C 0.873 0.160 0.033
C 0.922 0.331 0.253

=====

| no. | energy relative to the elements (eV/atom) |
| --- | --- |
| 1 | -0.071 |
| 2 | -0.277 |